# 1
A geometry-optimized CaTl2Sn structure, computed with PBE.

For the density of states at the Fermi level, the calculation gives 0.350 states/eV/atom. Its formation enthalpy at 0 K is -0.151 eV per atom. For the total magnetization, the calculation gives 0.00 μB per formula unit. For the calculated total energy, the calculation gives -11.3 eV/f.u.

Structure (CIF):
```
data_CaTl2Sn
_cell_length_a 4.6709
_cell_length_b 4.6709
_cell_length_c 20.3286
_cell_angle_alpha 90.00
_cell_angle_beta 90.00
_cell_angle_gamma 120.00
_symmetry_space_group_name_H-M 'R 3 m'
_symmetry_Int_Tables_number 160
_symmetry_space_group_name_Hall 'R 3 -2"'
loop_
_atom_site_label
_atom_site_type_symbol
_atom_site_fract_x
_atom_site_fract_y
_atom_site_fract_z
_atom_site_occupancy
Ca1 Ca 0.0000 0.0000 0.0000 1
Tl1 Tl 0.0000 0.0000 0.4267 1
Tl2 Tl 0.0000 0.0000 0.5824 1
Sn1 Sn 0.0000 0.0000 0.1757 1
```

# 2
A geometry-optimized Cs3Mg2SnF9 structure, computed with PBE.

For the density of states at the Fermi level, the calculation gives 0.000 states/eV/atom. For the total magnetization, the calculation gives 0.00 μB per formula unit. For the calculated total energy, the calculation gives -70.9 eV/f.u.

Structure (CIF):
```
data_Cs3Mg2SnF9
_cell_length_a 6.2242
_cell_length_b 6.2242
_cell_length_c 7.6825
_cell_angle_alpha 90.00
_cell_angle_beta 90.00
_cell_angle_gamma 120.00
_symmetry_space_group_name_H-M 'P -3 m 1'
_symmetry_Int_Tables_number 164
_symmetry_space_group_name_Hall '-P 3 2"'
loop_
_atom_site_label
_atom_site_type_symbol
_atom_site_fract_x
_atom_site_fract_y
_atom_site_fract_z
_atom_site_occupancy
Cs1 Cs 0.0000 0.0000 0.0000 1
Cs2 Cs 0.3333 0.6667 0.6687 1
Mg1 Mg 0.3333 0.6667 0.1506 1
Sn1 Sn 0.0000 0.0000 0.5000 1
F1 F 0.0000 0.5000 0.0000 1
F2 F 0.1806 0.3612 0.3103 1
```

# 3
A geometry-optimized CsTb4Tl5 structure, computed with PBE.

For the density of states at the Fermi level, the calculation gives 0.678 states/eV/atom. Its formation enthalpy at 0 K is -0.281 eV per atom. For the total magnetization, the calculation gives 0.00 μB per formula unit. For the calculated total energy, the calculation gives -34.0 eV/f.u.

Structure (CIF):
```
data_CsTb4Tl5
_cell_length_a 3.862
_cell_length_b 3.862
_cell_length_c 20.639
_cell_angle_alpha 90.00
_cell_angle_beta 90.00
_cell_angle_gamma 90.00
_symmetry_space_group_name_H-M 'P 4/m m m'
_symmetry_Int_Tables_number 123
_symmetry_space_group_name_Hall '-P 4 2'
loop_
_atom_site_label
_atom_site_type_symbol
_atom_site_fract_x
_atom_site_fract_y
_atom_site_fract_z
_atom_site_occupancy
Cs1 Cs 0.000 0.000 0.000 1
Tb1 Tb 0.000 0.000 0.225 1
Tb2 Tb 0.000 0.000 0.408 1
Tl1 Tl 0.500 0.500 0.142 1
Tl2 Tl 0.500 0.500 0.318 1
Tl3 Tl 0.500 0.500 0.500 1
```

# 4
A geometry-optimized TmZnPt2 structure, computed with PBE.

For the density of states at the Fermi level, the calculation gives 0.336 states/eV/atom. Its formation enthalpy at 0 K is -0.948 eV per atom. For the total magnetization, the calculation gives 0.00 μB per formula unit. For the calculated total energy, the calculation gives -21.6 eV/f.u.

Structure (CIF):
```
data_TmZnPt2
_cell_length_a 3.463
_cell_length_b 3.463
_cell_length_c 5.877
_cell_angle_alpha 90.00
_cell_angle_beta 90.00
_cell_angle_gamma 90.00
_symmetry_space_group_name_H-M 'P 4/m m m'
_symmetry_Int_Tables_number 123
_symmetry_space_group_name_Hall '-P 4 2'
loop_
_atom_site_label
_atom_site_type_symbol
_atom_site_fract_x
_atom_site_fract_y
_atom_site_fract_z
_atom_site_occupancy
Tm1 Tm 0.000 0.000 0.000 1
Zn1 Zn 0.000 0.000 0.500 1
Pt1 Pt 0.500 0.500 0.268 1
```

# 5
A geometry-optimized Dy2ErLu structure, computed with PBE.

For the density of states at the Fermi level, the calculation gives 2.190 states/eV/atom. Its formation enthalpy at 0 K is 0.132 eV per atom. For the total magnetization, the calculation gives 0.00 μB per formula unit. For the calculated total energy, the calculation gives -17.8 eV/f.u.

Structure (CIF):
```
data_Dy2ErLu
_cell_length_a 7.912
_cell_length_b 7.912
_cell_length_c 7.912
_cell_angle_alpha 90.00
_cell_angle_beta 90.00
_cell_angle_gamma 90.00
_symmetry_space_group_name_H-M 'F m -3 m'
_symmetry_Int_Tables_number 225
_symmetry_space_group_name_Hall '-F 4 2 3'
loop_
_atom_site_label
_atom_site_type_symbol
_atom_site_fract_x
_atom_site_fract_y
_atom_site_fract_z
_atom_site_occupancy
Dy1 Dy 0.250 0.250 0.250 1
Er1 Er 0.000 0.000 0.000 1
Lu1 Lu 0.000 0.000 0.500 1
```

# 6
A geometry-optimized RbSbPd2Pb structure, computed with PBE.

For the density of states at the Fermi level, the calculation gives 0.339 states/eV/atom. For the total magnetization, the calculation gives 0.00 μB per formula unit. For the calculated total energy, the calculation gives -20.8 eV/f.u.

Structure (CIF):
```
data_RbSbPd2Pb
_cell_length_a 7.573
_cell_length_b 4.675
_cell_length_c 9.737
_cell_angle_alpha 90.00
_cell_angle_beta 109.70
_cell_angle_gamma 90.00
_symmetry_space_group_name_H-M 'P 1 21/m 1'
_symmetry_Int_Tables_number 11
loop_
_symmetry_equiv_pos_as_xyz
'x,y,z'
'-x,-y,-z'
'-x,y+1/2,-z'
'x,-y+1/2,z'
loop_
_atom_site_label
_atom_site_type_symbol
_atom_site_fract_x
_atom_site_fract_y
_atom_site_fract_z
_atom_site_occupancy
Rb1 Rb 0.233 0.250 0.286 1
Sb1 Sb 0.257 0.750 0.621 1
Pd1 Pd 0.085 0.250 0.584 1
Pd2 Pd 0.415 0.750 0.911 1
Pb1 Pb 0.214 0.250 0.894 1
```